A plane-wave DFT calculation with PBE was carried out for crystalline NbFe2SiBi at its relaxed geometry.

Calculated values
Magnetic moment ... 3.871 μB per formula unit
V ... 23.5 Å³/atom
Total energy ... -5.788 eV/atom

Unit cell a=4.628 b=4.628 c=5.483 alpha=90.00 beta=90.00 gamma=90.00
Fractional coordinates of all 5 atoms:
1 Nb 0.000 0.000 0.000
2 Fe 0.000 0.500 0.000
3 Fe 0.500 0.000 0.000
4 Si 0.500 0.500 0.500
5 Bi 0.000 0.000 0.500